VASP calculation (PBE) on Ho6Te3P2S after structural relaxation.

a = 18.2958 Å, b = 4.0819 Å, c = 8.4275 Å
α = 90.00°, β = 106.06°, γ = 90.00°
Space group C2/m (No. 12)
One atom of each set of equivalent atoms:
Ho: 0.0105 0.0000 0.2275
Ho: 0.1588 0.5000 0.1086
Ho: 0.1762 0.5000 0.5597
Te: 0.0000 0.5000 0.5000
Te: 0.1657 0.0000 0.8335
P: 0.1664 0.0000 0.3324
S: 0.0000 0.5000 0.0000



VASP calculation (PBE) on Ho4Te2PS after structural relaxation.

a = 7.0359 Å, b = 4.0737 Å, c = 7.3805 Å
α = 90.00°, β = 108.62°, γ = 90.00°
Space group P2/m (No. 10)
One atom of each set of equivalent atoms:
Ho: 0.2321 0.0000 0.2065
Ho: 0.2619 0.5000 0.7945
Te: 0.0000 0.0000 0.5000
Te: 0.5000 0.5000 0.5000
P: 0.0000 0.5000 0.0000
S: 0.5000 0.0000 0.0000



VASP calculation (PBE) on Ho6TeP3S2 after structural relaxation.

a = 17.5740 Å, b = 3.9995 Å, c = 8.0957 Å
α = 90.00°, β = 104.04°, γ = 90.00°
Space group C2/m (No. 12)
One atom of each set of equivalent atoms:
Ho: 0.0011 0.0000 0.2242
Ho: 0.1649 0.5000 0.0887
Ho: 0.1767 0.5000 0.5810
Te: 0.0000 0.5000 0.5000
P: 0.0000 0.5000 0.0000
P: 0.1644 0.0000 0.3309
S: 0.1685 0.0000 0.8348



VASP calculation (PBE) on Ho8Te4P3S after structural relaxation.

a = 8.1555 Å, b = 8.1555 Å, c = 21.0730 Å
α = 90.00°, β = 90.00°, γ = 120.00°
Space group R-3m (No. 166, hexagonal axes)
One atom of each set of equivalent atoms:
Ho: 0.0000 0.0000 0.2361
Ho: 0.0035 0.5018 0.7642
Te: 0.0000 0.0000 0.0000
Te: 0.0000 0.5000 0.0000
P: 0.0000 0.5000 0.5000
S: 0.0000 0.0000 0.5000



VASP calculation (PBE) on Ho6TeP2S3 after structural relaxation.

a = 17.3867 Å, b = 3.9850 Å, c = 8.0503 Å
α = 90.00°, β = 102.55°, γ = 90.00°
Space group C2/m (No. 12)
One atom of each set of equivalent atoms:
Ho: 0.0057 0.0000 0.2817
Ho: 0.1693 0.5000 0.5782
Ho: 0.1775 0.5000 0.1038
Te: 0.0000 0.5000 0.0000
P: 0.1678 0.0000 0.3354
S: 0.0000 0.5000 0.5000
S: 0.1622 0.0000 0.8349



VASP calculation (PBE) on Ho8Tl3PS3 after structural relaxation.

a = 13.2938 Å, b = 7.6851 Å, c = 8.8648 Å
α = 90.00°, β = 119.97°, γ = 90.00°
Space group C2/m (No. 12)
One atom of each set of equivalent atoms:
Ho: 0.0145 0.2492 0.2939
Ho: 0.2351 0.0000 0.7064
Ho: 0.2346 0.5000 0.7036
Tl: 0.0000 0.0000 0.0000
Tl: 0.2500 0.2500 0.0000
P: 0.0000 0.0000 0.5000
S: 0.0000 0.5000 0.5000
S: 0.2500 0.2500 0.5000



VASP calculation (PBE) on Ho6TlP3S2 after structural relaxation.

a = 17.5192 Å, b = 3.9652 Å, c = 8.1502 Å
α = 90.00°, β = 102.84°, γ = 90.00°
Space group C2/m (No. 12)
One atom of each set of equivalent atoms:
Ho: 0.0019 0.0000 0.2737
Ho: 0.1653 0.5000 0.5911
Ho: 0.1751 0.5000 0.0864
Tl: 0.0000 0.5000 0.0000
P: 0.0000 0.5000 0.5000
P: 0.1659 0.0000 0.8331
S: 0.1705 0.0000 0.3419



VASP calculation (PBE) on HoTlP2S8 after structural relaxation.

a = 6.1618 Å, b = 6.1618 Å, c = 27.3685 Å
α = 90.00°, β = 90.00°, γ = 120.00°
Space group R-3 (No. 148, hexagonal axes)
One atom of each set of equivalent atoms:
Ho: 0.0000 0.0000 0.0000
Tl: 0.0000 0.0000 0.5000
P: 0.0000 0.0000 0.2546
S: 0.0000 0.0000 0.1803
S: 0.0028 0.3696 0.0576



VASP calculation (PBE) on Ho8Tl4P3S after structural relaxation.

a = 13.3871 Å, b = 7.7514 Å, c = 9.0732 Å
α = 90.00°, β = 119.32°, γ = 90.00°
Space group C2/m (No. 12)
One atom of each set of equivalent atoms:
Ho: 0.0169 0.2479 0.2981
Ho: 0.2335 0.0000 0.7010
Ho: 0.2351 0.5000 0.7019
Tl: 0.0000 0.0000 0.0000
Tl: 0.0000 0.5000 0.0000
Tl: 0.2500 0.2500 0.0000
P: 0.0000 0.0000 0.5000
P: 0.2500 0.2500 0.5000
S: 0.0000 0.5000 0.5000



VASP calculation (PBE) on YHoPS after structural relaxation.

a = 3.9520 Å, b = 3.9520 Å, c = 19.4434 Å
α = 90.00°, β = 90.00°, γ = 120.00°
Space group R3m (No. 160, hexagonal axes)
One atom of each set of equivalent atoms:
Y: 0.0000 0.0000 0.0000
Ho: 0.0000 0.0000 0.5062
P: 0.0000 0.0000 0.2524
S: 0.0000 0.0000 0.7539



VASP calculation (PBE) on Ho4Sb2P after structural relaxation.

a = 6.6357 Å, b = 6.5111 Å, c = 9.2472 Å
α = 90.00°, β = 109.23°, γ = 90.00°
Space group P2_1/m (No. 11)
One atom of each set of equivalent atoms:
Ho: 0.0042 0.0028 0.2613
Ho: 0.4029 0.7500 0.0639
Ho: 0.4390 0.7500 0.6423
Sb: 0.1923 0.2500 0.0414
Sb: 0.2140 0.2500 0.5561
P: 0.3443 0.7500 0.3371



VASP calculation (PBE) on Ho5SbP4 after structural relaxation.

a = 13.5103 Å, b = 4.0339 Å, c = 10.0165 Å
α = 90.00°, β = 119.70°, γ = 90.00°
Space group C2/m (No. 12)
One atom of each set of equivalent atoms:
Ho: 0.0000 0.0000 0.0000
Ho: 0.1091 0.5000 0.3888
Ho: 0.2062 0.0000 0.8145
Sb: 0.0000 0.0000 0.5000
P: 0.0977 0.5000 0.8993
P: 0.2024 0.0000 0.2951



VASP calculation (PBE) on HoSbP after structural relaxation.

a = 4.7077 Å, b = 4.7077 Å, c = 25.6792 Å
α = 90.00°, β = 90.00°, γ = 120.00°
Space group R-3m (No. 166, hexagonal axes)
One atom of each set of equivalent atoms:
Ho: 0.0000 0.0000 0.2210
Sb: 0.0000 0.0000 0.3614
P: 0.0000 0.0000 0.1138



VASP calculation (PBE) on Ho6SbP5 after structural relaxation.

a = 7.0276 Å, b = 12.1595 Å, c = 7.0083 Å
α = 90.00°, β = 109.53°, γ = 90.00°
Space group C2/m (No. 12)
One atom of each set of equivalent atoms:
Ho: 0.2370 0.0000 0.2572
Ho: 0.2395 0.1746 0.7426
Sb: 0.0000 0.5000 0.0000
P: 0.0000 0.0000 0.5000
P: 0.0000 0.1668 0.0000
P: 0.0000 0.3368 0.5000



VASP calculation (PBE) on Ho3SbP after structural relaxation.

a = 7.4489 Å, b = 13.0305 Å, c = 5.7021 Å
α = 90.00°, β = 90.00°, γ = 90.00°
Space group Pnma (No. 62)
One atom of each set of equivalent atoms:
Ho: 0.0241 0.2500 0.1129
Ho: 0.1583 0.1142 0.6025
Sb: 0.0000 0.0000 0.0000
P: 0.1341 0.7500 0.3792



VASP calculation (PBE) on Ho4Sb3P after structural relaxation.

a = 8.5948 Å, b = 12.0934 Å, c = 4.2539 Å
α = 90.00°, β = 90.00°, γ = 90.00°
Space group Cmmm (No. 65)
One atom of each set of equivalent atoms:
Ho: 0.0000 0.2406 0.0000
Ho: 0.2330 0.0000 0.5000
Sb: 0.0000 0.5000 0.0000
Sb: 0.2500 0.2500 0.5000
P: 0.0000 0.0000 0.0000



VASP calculation (PBE) on Ho4SbPSe2 after structural relaxation.

a = 7.1134 Å, b = 4.1134 Å, c = 7.2153 Å
α = 90.00°, β = 109.42°, γ = 90.00°
Space group P2/m (No. 10)
One atom of each set of equivalent atoms:
Ho: 0.2366 0.0000 0.2289
Ho: 0.2485 0.5000 0.7691
Sb: 0.0000 0.0000 0.5000
P: 0.0000 0.5000 0.0000
Se: 0.5000 0.0000 0.0000
Se: 0.5000 0.5000 0.5000



VASP calculation (PBE) on Ho4Sb2PSe after structural relaxation.

a = 7.2515 Å, b = 4.1813 Å, c = 7.2938 Å
α = 90.00°, β = 109.20°, γ = 90.00°
Space group P2/m (No. 10)
One atom of each set of equivalent atoms:
Ho: 0.2350 0.0000 0.2291
Ho: 0.2459 0.5000 0.7655
Sb: 0.0000 0.0000 0.5000
Sb: 0.5000 0.5000 0.5000
P: 0.0000 0.5000 0.0000
Se: 0.5000 0.0000 0.0000



VASP calculation (PBE) on Ho6SbTe3P2 after structural relaxation.

a = 18.5998 Å, b = 4.1740 Å, c = 8.5662 Å
α = 90.00°, β = 104.66°, γ = 90.00°
Space group C2/m (No. 12)
One atom of each set of equivalent atoms:
Ho: 0.0165 0.0000 0.2549
Ho: 0.1701 0.5000 0.1212
Ho: 0.1774 0.5000 0.5638
Sb: 0.0000 0.5000 0.0000
Te: 0.0000 0.5000 0.5000
Te: 0.1614 0.0000 0.8335
P: 0.1692 0.0000 0.3384



VASP calculation (PBE) on Ho6Sb2Te3P after structural relaxation.

a = 18.8679 Å, b = 4.2567 Å, c = 8.6577 Å
α = 90.00°, β = 103.79°, γ = 90.00°
Space group C2/m (No. 12)
One atom of each set of equivalent atoms:
Ho: 0.0006 0.0000 0.2150
Ho: 0.1491 0.5000 0.0784
Ho: 0.1661 0.5000 0.5760
Sb: 0.1669 0.0000 0.3313
Te: 0.0000 0.5000 0.5000
Te: 0.1706 0.0000 0.8363
P: 0.0000 0.5000 0.0000



VASP calculation (PBE) on Ho8Sb3Te4P after structural relaxation.

a = 8.6079 Å, b = 8.6079 Å, c = 21.2517 Å
α = 90.00°, β = 90.00°, γ = 120.00°
Space group R-3m (No. 166, hexagonal axes)
One atom of each set of equivalent atoms:
Ho: 0.0000 0.0000 0.2463
Ho: 0.0204 0.5102 0.2418
Sb: 0.0000 0.5000 0.5000
Te: 0.0000 0.0000 0.0000
Te: 0.0000 0.5000 0.0000
P: 0.0000 0.0000 0.5000



| no. | total magnetization (μB per formula unit) | E (eV/atom) | ΔE_f (raw) (meV/atom) |
| --- | --- | --- | --- |
| 1 | 0.0 | -5.8973 | -1577 |
| 2 | 0.0 | -5.8648 | -1598 |
| 3 | 0.0 | -6.3132 | -1722 |
| 4 | 0.0 | -5.9173 | -1571 |
| 5 | 0.0 | -6.2466 | -1762 |
| 6 | 0.0 | -5.1969 | -1096 |
| 7 | 0.0 | -6.0329 | -1506 |
| 8 | 2.1 | -4.6729 | -441 |
| 9 | 0.0 | -5.1787 | -1026 |
| 10 | 0.0 | -7.0166 | -1872 |
| 11 | 0.0 | -5.4260 | -859 |
| 12 | 0.0 | -6.3471 | -1482 |
| 13 | 0.0 | -5.4119 | -709 |
| 14 | 0.0 | -6.3830 | -1496 |
| 15 | 0.0 | -5.5012 | -848 |
| 16 | 0.0 | -5.7053 | -1194 |
| 17 | 0.0 | -5.9191 | -1568 |
| 18 | 0.0 | -5.8331 | -1402 |
| 19 | 0.0 | -5.7475 | -1428 |
| 20 | 0.0 | -5.5375 | -1325 |
| 21 | 0.0 | -5.4768 | -1291 |